This record from Alexandria via LeMat-Bulk describes an optimized crystal structure of TiTcAsSe2. The functional is PBE.

Lattice parameters (Å, degrees): 4.925 4.925 4.669 90.00 90.00 90.00
Sites, in units of the cell vectors:
Ti (0.000, 0.000, 0.000)
Tc (0.500, 0.500, 0.500)
As (0.500, 0.500, 0.000)
Se (0.000, 0.500, 0.500)
Se (0.500, 0.000, 0.500)

ΔE_f (raw) ... 0.56 eV/atom
Size of the total moment ... 0.2 μB/f.u.
Volume ... 113 Å³/cell


This record from Alexandria via LeMat-Bulk describes an optimized crystal structure of KNiN2. The functional is PBE.

Lattice parameters (Å, degrees): 6.687 6.687 6.687 36.64 36.64 36.64
Sites, in units of the cell vectors:
K (0.000, 0.000, 0.000)
Ni (0.500, 0.500, 0.500)
N (0.413, 0.413, 0.413)
N (0.587, 0.587, 0.587)

ΔE_f (raw) ... 1.24 eV/atom
Size of the total moment ... 1.0 μB/f.u.
Volume ... 95 Å³/cell


This record from Alexandria via LeMat-Bulk describes an optimized crystal structure of K5Al2H12. The functional is PBE.

Lattice parameters (Å, degrees): 7.465 7.465 8.708 105.28 105.28 44.56
Sites, in units of the cell vectors:
K (0.000, 0.000, 0.000)
K (0.303, 0.303, 0.650)
K (0.324, 0.324, 0.149)
K (0.676, 0.676, 0.851)
K (0.697, 0.697, 0.350)
Al (0.246, 0.754, 0.500)
Al (0.754, 0.246, 0.500)
H (0.002, 0.002, 0.367)
H (0.094, 0.590, 0.904)
H (0.129, 0.618, 0.437)
H (0.382, 0.871, 0.563)
H (0.410, 0.906, 0.096)
H (0.497, 0.497, 0.632)
H (0.503, 0.503, 0.368)
H (0.590, 0.094, 0.904)
H (0.618, 0.129, 0.437)
H (0.871, 0.382, 0.563)
H (0.906, 0.410, 0.096)
H (0.998, 0.998, 0.633)

E_tot ... -2.86 eV/atom
Size of the total moment ... 1.0 μB/f.u.
Volume ... 326 Å³/cell


This record from Alexandria via LeMat-Bulk describes an optimized crystal structure of Gd2GaRh. The functional is PBE.

Lattice parameters (Å, degrees): 3.572 3.572 6.954 90.00 90.00 90.00
Sites, in units of the cell vectors:
Gd (0.000, 0.000, 0.236)
Gd (0.000, 0.000, 0.764)
Ga (0.500, 0.500, 0.500)
Rh (0.500, 0.500, 0.000)

Size of the total moment ... 14.2 μB/f.u.
Volume ... 89 Å³/cell
ΔE_f ... -0.69 eV per atom


This record from Alexandria via LeMat-Bulk describes an optimized crystal structure of AcLaN. The functional is PBE.

Lattice parameters (Å, degrees): 3.739 5.610 8.049 90.00 90.00 90.00
Sites, in units of the cell vectors:
Ac (0.250, 0.250, 0.112)
Ac (0.750, 0.750, 0.888)
La (0.250, 0.250, 0.667)
La (0.750, 0.750, 0.333)
N (0.250, 0.750, 0.139)
N (0.750, 0.250, 0.861)

ΔE_f (raw) ... -0.76 eV/atom
Size of the total moment ... 0.0 μB/f.u.
Volume ... 169 Å³/cell


This record from Alexandria via LeMat-Bulk describes an optimized crystal structure of Ac2GaGe4Au3. The functional is PBE.

Lattice parameters (Å, degrees): 4.638 4.638 10.440 90.00 90.00 90.00
Sites, in units of the cell vectors:
Ac (0.000, 0.500, 0.248)
Ac (0.500, 0.000, 0.752)
Ga (0.000, 0.000, 0.500)
Ge (0.000, 0.000, 0.000)
Ge (0.000, 0.500, 0.629)
Ge (0.500, 0.000, 0.371)
Ge (0.500, 0.500, 0.000)
Au (0.000, 0.500, 0.874)
Au (0.500, 0.000, 0.126)
Au (0.500, 0.500, 0.500)

Size of the total moment ... 0.0 μB/f.u.
Volume ... 225 Å³/cell
ΔE_f ... -0.58 eV per atom


This record from Alexandria via LeMat-Bulk describes an optimized crystal structure of BaThNiN2. The functional is PBE.

Lattice parameters (Å, degrees): 6.241 4.619 7.149 90.00 102.10 90.00
Sites, in units of the cell vectors:
Ba (0.000, 0.128, 0.250)
Ba (0.000, 0.872, 0.750)
Th (0.500, 0.471, 0.750)
Th (0.500, 0.529, 0.250)
Ni (0.500, 0.000, 0.000)
Ni (0.500, 0.000, 0.500)
N (0.282, 0.303, 0.974)
N (0.282, 0.697, 0.474)
N (0.718, 0.303, 0.526)
N (0.718, 0.697, 0.026)

ΔE_f (raw) ... -0.72 eV/atom
Size of the total moment ... 0.0 μB/f.u.
Volume ... 202 Å³/cell


This record from Alexandria via LeMat-Bulk describes an optimized crystal structure of Ac2Pm5Ga4. The functional is PBE.

Lattice parameters (Å, degrees): 7.780 7.780 9.318 125.96 125.96 52.91
Sites, in units of the cell vectors:
Ac (0.205, 0.205, 0.254)
Ac (0.795, 0.795, 0.746)
Pm (0.208, 0.732, 0.294)
Pm (0.268, 0.792, 0.706)
Pm (0.500, 0.500, 0.000)
Pm (0.732, 0.208, 0.294)
Pm (0.792, 0.268, 0.706)
Ga (0.210, 0.210, 0.629)
Ga (0.270, 0.270, 0.963)
Ga (0.730, 0.730, 0.037)
Ga (0.790, 0.790, 0.371)

Size of the total moment ... 0.0 μB/f.u.
Volume ... 340 Å³/cell
ΔE_f ... -0.28 eV per atom


This record from Alexandria via LeMat-Bulk describes an optimized crystal structure of LaInAs4. The functional is PBE.

Lattice parameters (Å, degrees): 5.799 5.799 5.799 60.00 60.00 60.00
Sites, in units of the cell vectors:
La (0.000, 0.000, 0.000)
In (0.250, 0.250, 0.250)
As (0.137, 0.621, 0.621)
As (0.621, 0.137, 0.621)
As (0.621, 0.621, 0.137)
As (0.621, 0.621, 0.621)

Size of the total moment ... 0.0 μB/f.u.
Volume ... 138 Å³/cell
ΔE_f ... -0.28 eV per atom


This record from Alexandria via LeMat-Bulk describes an optimized crystal structure of Ac5PrMg4. The functional is PBE.

Lattice parameters (Å, degrees): 4.074 4.074 21.806 90.00 90.00 90.00
Sites, in units of the cell vectors:
Ac (0.000, 0.000, 0.000)
Ac (0.000, 0.000, 0.190)
Ac (0.000, 0.000, 0.382)
Ac (0.000, 0.000, 0.618)
Ac (0.000, 0.000, 0.810)
Pr (0.500, 0.500, 0.500)
Mg (0.500, 0.500, 0.095)
Mg (0.500, 0.500, 0.287)
Mg (0.500, 0.500, 0.713)
Mg (0.500, 0.500, 0.905)

Size of the total moment ... 0.0 μB/f.u.
Volume ... 362 Å³/cell
ΔE_f ... -0.06 eV per atom


This record from Alexandria via LeMat-Bulk describes an optimized crystal structure of Pm2Sm4Dy. The functional is PBE.

Lattice parameters (Å, degrees): 6.180 6.679 11.739 90.00 103.91 90.00
Sites, in units of the cell vectors:
Pm (0.101, 0.250, 0.494)
Pm (0.212, 0.250, 0.072)
Pm (0.788, 0.750, 0.928)
Pm (0.899, 0.750, 0.506)
Sm (0.147, 0.008, 0.786)
Sm (0.147, 0.492, 0.786)
Sm (0.349, 0.750, 0.053)
Sm (0.475, 0.750, 0.643)
Sm (0.525, 0.250, 0.357)
Sm (0.651, 0.250, 0.947)
Sm (0.853, 0.508, 0.214)
Sm (0.853, 0.992, 0.214)
Dy (0.355, 0.750, 0.341)
Dy (0.645, 0.250, 0.659)

Size of the total moment ... 0.0 μB/f.u.
Volume ... 470 Å³/cell
ΔE_f ... 0.12 eV per atom


This record from Alexandria via LeMat-Bulk describes an optimized crystal structure of Pr3SnPb3. The functional is PBE.

Lattice parameters (Å, degrees): 9.245 9.245 5.797 90.00 90.00 120.00
Sites, in units of the cell vectors:
Pr (0.091, 0.448, 0.250)
Pr (0.357, 0.909, 0.250)
Pr (0.448, 0.357, 0.750)
Pr (0.552, 0.643, 0.250)
Pr (0.643, 0.091, 0.750)
Pr (0.909, 0.552, 0.750)
Sn (0.333, 0.667, 0.750)
Sn (0.667, 0.333, 0.250)
Pb (0.053, 0.245, 0.750)
Pb (0.192, 0.947, 0.750)
Pb (0.245, 0.192, 0.250)
Pb (0.755, 0.808, 0.750)
Pb (0.808, 0.053, 0.250)
Pb (0.947, 0.755, 0.250)

Size of the total moment ... 0.0 μB/f.u.
Volume ... 429 Å³/cell
ΔE_f ... -0.40 eV per atom


This record from Alexandria via LeMat-Bulk describes an optimized crystal structure of BaSc2Ta. The functional is PBE.

Lattice parameters (Å, degrees): 3.165 4.968 7.342 90.00 90.01 90.00
Sites, in units of the cell vectors:
Ba (0.000, 0.000, 0.000)
Sc (0.500, 0.000, 0.549)
Sc (0.502, 0.500, 0.334)
Ta (0.002, 0.500, 0.669)

Size of the total moment ... 0.0 μB/f.u.
Volume ... 115 Å³/cell
ΔE_f ... 0.53 eV per atom